Entry 1:
Here is a relaxed structure of Ba2TaCo from the Alexandria database. Energies are from PBE.

a b c (Å): 19.5910 3.3860 3.7747
angles (deg): 90.00 100.83 90.00
Last column: nearest neighbours and their distance in Å.
Space group C2/m (No. 12)
Asymmetric unit:
Ba 0.1476 0.0000 0.1446  2 Co 3.31, 2 Ba 3.39, 2 Ta 3.41
Ta 0.0000 0.0000 0.5000  4 Co 2.54
Co 0.0000 0.5000 0.0000  4 Ta 2.54

energy above the most stable polymorph in this dataset: 149 meV/atom
formation energy: 0.5304 eV per atom

---

Entry 2:
Here is a relaxed structure of BaTa2Co from the Alexandria database. Energies are from PBE.

a b c (Å): 3.1615 3.1615 8.6940
angles (deg): 90.00 90.00 90.00
Last column: nearest neighbours and their distance in Å.
Space group P4mm (No. 99)
Asymmetric unit:
Ba 0.0000 0.0000 0.0000  4 Ba 3.16, 4 Co 3.40
Ta 0.0000 0.0000 0.4278  4 Co 2.51
Ta 0.5000 0.5000 0.6456  8 Ta 2.93-3.16, 1 Co 3.05
Co 0.5000 0.5000 0.2953  4 Ta 2.51

energy above the most stable polymorph in this dataset: 0 meV/atom
formation energy: 0.4415 eV per atom

---

Entry 3:
Here is a relaxed structure of BaTa2Co from the Alexandria database. Energies are from PBE.

a b c (Å): 3.9941 3.9941 10.4409
angles (deg): 90.00 90.00 90.00
Last column: nearest neighbours and their distance in Å.
Space group I4/mmm (No. 139)
Asymmetric unit:
Ba 0.0000 0.0000 0.0000  4 Co 2.82
Ta 0.0000 0.5000 0.2500  4 Ta 2.82
Co 0.0000 0.0000 0.5000  4 Ba 2.82

energy above the most stable polymorph in this dataset: 756 meV/atom
formation energy: 1.1971 eV per atom

---

Entry 4:
Here is a relaxed structure of BaTa2Co from the Alexandria database. Energies are from PBE.

a b c (Å): 6.6949 6.6949 6.6949
angles (deg): 90.00 90.00 90.00
Last column: nearest neighbours and their distance in Å.
Space group Fm-3m (No. 225)
Asymmetric unit:
Ba 0.0000 0.0000 0.0000  8 Ta 2.90
Ta 0.2500 0.2500 0.2500  4 Ba 2.90, 4 Co 2.90
Co 0.0000 0.0000 0.5000  8 Ta 2.90

energy above the most stable polymorph in this dataset: 787 meV/atom
formation energy: 1.2285 eV per atom

---

What is the formula in the second record?
BaTa2Co

---

energy above the most stable polymorph in this dataset of number 2 (BaTa2Co)?
0 meV/atom

---

Look up the formation energy of the second one.
0.4415 eV per atom